No. 1
# NaNbTe2O, optimized geometry, DFT GGA-PBE
# Density of states at the Fermi level   4.4 states/eV/cell
# Energy   -22.9 eV per cell
# Formation energy from raw total energies   -0.048 eV/atom
data_NaNbTe2O
_cell_length_a 4.917
_cell_length_b 4.917
_cell_length_c 4.005
_cell_angle_alpha 90.00
_cell_angle_beta 90.00
_cell_angle_gamma 90.00
_symmetry_space_group_name_H-M 'P 4/m m m'
_symmetry_Int_Tables_number 123
_symmetry_space_group_name_Hall '-P 4 2'
loop_
_atom_site_label
_atom_site_fract_x
_atom_site_fract_y
_atom_site_fract_z
Na1 0.000 0.000 0.000
Nb1 0.500 0.500 0.000
Te1 0.000 0.500 0.500
O1 0.000 0.000 0.500


No. 2
# ZnOsPb2, optimized geometry, DFT GGA-PBE
# Density of states at the Fermi level   5.7 states/eV/cell
# Formation energy   2.297 eV/f.u.
# Energy   -35.2 eV per cell
data_ZnOsPb2
_cell_length_a 3.138
_cell_length_b 4.596
_cell_length_c 12.833
_cell_angle_alpha 90.00
_cell_angle_beta 90.00
_cell_angle_gamma 90.00
_symmetry_space_group_name_H-M 'I m m 2'
_symmetry_Int_Tables_number 44
_symmetry_space_group_name_Hall 'I 2 -2'
loop_
_atom_site_label
_atom_site_fract_x
_atom_site_fract_y
_atom_site_fract_z
Zn1 0.000 0.000 0.000
Os1 0.000 0.500 0.333
Pb1 0.000 0.000 0.625
Pb2 0.000 0.500 0.826


No. 3
# LaTlInPb, optimized geometry, DFT GGA-PBE
# Density of states at the Fermi level   10.4 states/eV/cell
# Formation energy   -0.990 eV/f.u.
# Energy   -58.9 eV per cell
data_LaTlInPb
_cell_length_a 7.866
_cell_length_b 7.866
_cell_length_c 7.866
_cell_angle_alpha 90.00
_cell_angle_beta 90.00
_cell_angle_gamma 90.00
_symmetry_space_group_name_H-M 'F -4 3 m'
_symmetry_Int_Tables_number 216
_symmetry_space_group_name_Hall 'F -4 2 3'
loop_
_atom_site_label
_atom_site_fract_x
_atom_site_fract_y
_atom_site_fract_z
La1 0.000 0.000 0.000
Tl1 0.250 0.250 0.750
In1 0.250 0.250 0.250
Pb1 0.000 0.000 0.500


No. 4
# YSc6Co2, optimized geometry, DFT GGA-PBE
# Density of states at the Fermi level   51.7 states/eV/cell
# Formation energy   -0.800 eV/f.u.
# Energy   -237.9 eV per cell
data_YSc6Co2
_cell_length_a 8.833
_cell_length_b 9.376
_cell_length_c 9.404
_cell_angle_alpha 90.00
_cell_angle_beta 90.00
_cell_angle_gamma 90.00
_symmetry_space_group_name_H-M 'I m m m'
_symmetry_Int_Tables_number 71
_symmetry_space_group_name_Hall '-I 2 2'
loop_
_atom_site_label
_atom_site_fract_x
_atom_site_fract_y
_atom_site_fract_z
Y1 0.000 0.000 0.000
Y2 0.000 0.000 0.500
Sc1 0.000 0.229 0.239
Sc2 0.192 0.500 0.185
Sc3 0.213 0.309 0.500
Co1 0.000 0.332 0.000
Co2 0.000 0.500 0.382


No. 5
# Nd12In3Sn, optimized geometry, DFT GGA-PBE
# Density of states at the Fermi level   23.3 states/eV/cell
# Formation energy   -5.167 eV/f.u.
# Energy   -74.6 eV per cell
data_Nd12In3Sn
_cell_length_a 4.979
_cell_length_b 4.979
_cell_length_c 19.932
_cell_angle_alpha 90.00
_cell_angle_beta 90.00
_cell_angle_gamma 90.00
_symmetry_space_group_name_H-M 'P 4/m m m'
_symmetry_Int_Tables_number 123
_symmetry_space_group_name_Hall '-P 4 2'
loop_
_atom_site_label
_atom_site_fract_x
_atom_site_fract_y
_atom_site_fract_z
Nd1 0.000 0.000 0.000
Nd2 0.000 0.000 0.249
Nd3 0.000 0.000 0.500
Nd4 0.000 0.500 0.123
Nd5 0.000 0.500 0.374
In1 0.500 0.500 0.249
In2 0.500 0.500 0.500
Sn1 0.500 0.500 0.000


No. 6
# Cs3Na2PmBr8, optimized geometry, DFT GGA-PBE
# Density of states at the Fermi level   0.0 states/eV/cell
# Energy   -47.3 eV per cell
# Formation energy from raw total energies   -1.712 eV/atom
data_Cs3Na2PmBr8
_cell_length_a 8.1050
_cell_length_b 8.1050
_cell_length_c 10.7856
_cell_angle_alpha 90.00
_cell_angle_beta 90.00
_cell_angle_gamma 120.00
_symmetry_space_group_name_H-M 'P -3 m 1'
_symmetry_Int_Tables_number 164
_symmetry_space_group_name_Hall '-P 3 2"'
loop_
_atom_site_label
_atom_site_fract_x
_atom_site_fract_y
_atom_site_fract_z
Cs1 0.0000 0.0000 0.0000
Cs2 0.3333 0.6667 0.6231
Na1 0.3333 0.6667 0.1871
Pm1 0.0000 0.0000 0.5000
Br1 0.1637 0.3274 0.3409
Br2 0.3333 0.6667 0.9386